(1)
KSi3Te after structural relaxation. Source: Alexandria via LeMat-Bulk, functional PBE.

a = 5.444 Å, b = 5.444 Å, c = 5.444 Å
α = 90.00°, β = 90.00°, γ = 90.00°
Fractional coordinates of all 5 atoms:
1 K 0.000 0.000 0.000
2 Si 0.000 0.000 0.500
3 Si 0.000 0.500 0.000
4 Si 0.500 0.000 0.000
5 Te 0.500 0.500 0.500

Properties
Crystal system: cubic
Energy relative to the elements, uncorrected (eV per atom): 2.004
Calculated total energy (Ha/atom): -0.0771
Polymorph energy (0 for the lowest one) (eV per atom): 1.009

(2)
TbY2ScTe4 after structural relaxation. Source: Alexandria via LeMat-Bulk, functional PBE.

a = 7.496 Å, b = 4.290 Å, c = 7.517 Å
α = 90.00°, β = 109.07°, γ = 90.00°
Fractional coordinates of all 8 atoms:
1 Tb 0.000 0.000 0.000
2 Y 0.500 0.000 0.500
3 Y 0.500 0.500 0.000
4 Sc 0.000 0.500 0.500
5 Te 0.240 0.000 0.740
6 Te 0.245 0.500 0.256
7 Te 0.755 0.500 0.744
8 Te 0.760 0.000 0.260

Properties
Crystal system: monoclinic
Energy relative to the elements, uncorrected (eV per atom): -1.249
Calculated total energy (Ha/atom): -0.2134

(3)
SrGa2GeAu4 after structural relaxation. Source: Alexandria via LeMat-Bulk, functional PBE.

a = 10.270 Å, b = 10.270 Å, c = 10.270 Å
α = 25.00°, β = 25.00°, γ = 25.00°
Fractional coordinates of all 8 atoms:
1 Sr 0.000 0.000 0.000
2 Ga 0.252 0.252 0.252
3 Ga 0.748 0.748 0.748
4 Ge 0.500 0.500 0.500
5 Au 0.129 0.129 0.129
6 Au 0.403 0.403 0.403
7 Au 0.597 0.597 0.597
8 Au 0.871 0.871 0.871

Properties
Crystal system: trigonal
ΔH_f (0 K) (eV/f.u.): -2.442
Calculated total energy (Ha/atom): -0.1282

(4)
CePuPO after structural relaxation. Source: Alexandria via LeMat-Bulk, functional PBE.

a = 4.036 Å, b = 4.036 Å, c = 9.539 Å
α = 90.00°, β = 90.00°, γ = 90.00°
Fractional coordinates of all 8 atoms:
1 Ce 0.250 0.250 0.126
2 Ce 0.750 0.750 0.874
3 Pu 0.250 0.750 0.500
4 Pu 0.750 0.250 0.500
5 P 0.250 0.250 0.712
6 P 0.750 0.750 0.288
7 O 0.250 0.750 0.000
8 O 0.750 0.250 0.000

Properties
Crystal system: tetragonal
Energy relative to the elements, uncorrected (eV per atom): -1.879
Calculated total energy (Ha/atom): -0.3505

(5)
SmGdCdCo after structural relaxation. Source: Alexandria via LeMat-Bulk, functional PBE.

a = 5.120 Å, b = 5.120 Å, c = 5.120 Å
α = 60.00°, β = 60.00°, γ = 60.00°
Fractional coordinates of all 4 atoms:
1 Sm 0.000 0.000 0.000
2 Gd 0.500 0.500 0.500
3 Cd 0.750 0.750 0.750
4 Co 0.250 0.250 0.250

Properties
Crystal system: cubic
ΔH_f (0 K) (eV/f.u.): -0.415
Calculated total energy (Ha/atom): -0.2502

(6)
TcB2Os2 after structural relaxation. Source: Alexandria via LeMat-Bulk, functional PBE.

a = 4.970 Å, b = 4.970 Å, c = 4.970 Å
α = 134.70°, β = 134.70°, γ = 65.99°
Fractional coordinates of all 5 atoms:
1 Tc 0.000 0.000 0.000
2 B 0.250 0.750 0.500
3 B 0.750 0.250 0.500
4 Os 0.355 0.355 0.000
5 Os 0.645 0.645 0.000

Properties
Crystal system: tetragonal
ΔH_f (0 K) (eV/f.u.): 2.370
Calculated total energy (Ha/atom): -0.3220
Polymorph energy (0 for the lowest one) (eV per atom): 0.377

(7)
ZrZn2Pd after structural relaxation. Source: Alexandria via LeMat-Bulk, functional PBE.

a = 3.178 Å, b = 3.178 Å, c = 6.560 Å
α = 90.00°, β = 90.00°, γ = 90.00°
Fractional coordinates of all 4 atoms:
1 Zr 0.000 0.000 0.000
2 Zn 0.500 0.500 0.285
3 Zn 0.500 0.500 0.715
4 Pd 0.000 0.000 0.500

Properties
Crystal system: tetragonal
ΔH_f (0 K) (eV/f.u.): -1.594
Calculated total energy (Ha/atom): -0.1643

(8)
CuAs2Cl after structural relaxation. Source: Alexandria via LeMat-Bulk, functional PBE.

a = 3.864 Å, b = 4.371 Å, c = 5.190 Å
α = 90.00°, β = 111.75°, γ = 90.00°
Fractional coordinates of all 4 atoms:
1 Cu 0.000 0.000 0.000
2 As 0.338 0.500 0.169
3 As 0.662 0.500 0.831
4 Cl 0.000 0.000 0.500

Properties
Crystal system: monoclinic
Energy relative to the elements, uncorrected (eV per atom): -0.014
Calculated total energy (Ha/atom): -0.1405
Polymorph energy (0 for the lowest one) (eV per atom): 0.159

(9)
Na2In2Pt3 after structural relaxation. Source: Alexandria via LeMat-Bulk, functional PBE.

a = 6.192 Å, b = 6.192 Å, c = 7.654 Å
α = 125.02°, β = 125.02°, γ = 41.06°
Fractional coordinates of all 7 atoms:
1 Na 0.167 0.167 0.277
2 Na 0.833 0.833 0.723
3 In 0.142 0.142 0.778
4 In 0.858 0.858 0.222
5 Pt 0.436 0.436 0.091
6 Pt 0.500 0.500 0.500
7 Pt 0.564 0.564 0.909

Properties
Crystal system: monoclinic
ΔH_f (0 K) (eV/f.u.): -2.787
Calculated total energy (Ha/atom): -0.1524

(10)
RbEr2H after structural relaxation. Source: Alexandria via LeMat-Bulk, functional PBE.

a = 10.373 Å, b = 10.373 Å, c = 10.373 Å
α = 20.08°, β = 20.08°, γ = 20.08°
Fractional coordinates of all 4 atoms:
1 Rb 0.000 0.000 0.000
2 Er 0.124 0.124 0.124
3 Er 0.876 0.876 0.876
4 H 0.500 0.500 0.500

Properties
Crystal system: trigonal
Calculated total energy (Ha/atom): -0.1189

(11)
VTe2I after structural relaxation. Source: Alexandria via LeMat-Bulk, functional PBE.

a = 3.277 Å, b = 3.277 Å, c = 11.288 Å
α = 90.00°, β = 90.00°, γ = 90.00°
Fractional coordinates of all 4 atoms:
1 V 0.000 0.000 0.000
2 Te 0.500 0.500 0.148
3 Te 0.500 0.500 0.852
4 I 0.000 0.000 0.500

Properties
Crystal system: tetragonal
Energy relative to the elements, uncorrected (eV per atom): -0.056
Calculated total energy (Ha/atom): -0.1578
Polymorph energy (0 for the lowest one) (eV per atom): 0.112

(12)
DyAlSi2Ni5 after structural relaxation. Source: Alexandria via LeMat-Bulk, functional PBE.

a = 4.063 Å, b = 4.063 Å, c = 7.670 Å
α = 90.00°, β = 90.00°, γ = 90.00°
Fractional coordinates of all 9 atoms:
1 Dy 0.000 0.000 0.000
2 Al 0.000 0.000 0.500
3 Si 0.500 0.500 0.352
4 Si 0.500 0.500 0.648
5 Ni 0.000 0.500 0.238
6 Ni 0.000 0.500 0.762
7 Ni 0.500 0.000 0.238
8 Ni 0.500 0.000 0.762
9 Ni 0.500 0.500 0.000

Properties
Crystal system: tetragonal
Energy relative to the elements, uncorrected (eV per atom): -0.301
Calculated total energy (Ha/atom): -0.2074

Copy entry 7 word for word.
ZrZn2Pd after structural relaxation. Source: Alexandria via LeMat-Bulk, functional PBE.

a = 3.178 Å, b = 3.178 Å, c = 6.560 Å
α = 90.00°, β = 90.00°, γ = 90.00°
Fractional coordinates of all 4 atoms:
1 Zr 0.000 0.000 0.000
2 Zn 0.500 0.500 0.285
3 Zn 0.500 0.500 0.715
4 Pd 0.000 0.000 0.500

Properties
Crystal system: tetragonal
ΔH_f (0 K) (eV/f.u.): -1.594
Calculated total energy (Ha/atom): -0.1643

> Which value of calculated total energy does entry 12 give?

-0.2074 Ha/atom